[1]
VASP calculation (GGA-PBE) on TmGaRu2C after structural relaxation.

Cell lengths 5.9045, 5.9045, 7.3389 Å; angles 90.00, 90.00, 142.13 degrees
Positions (direct):
1 Tm 0.0431 0.9569 0.7500
2 Tm 0.9569 0.0431 0.2500
3 Ga 0.2344 0.7656 0.2500
4 Ga 0.7656 0.2344 0.7500
5 Ru 0.3382 0.6618 0.5556
6 Ru 0.3382 0.6618 0.9444
7 Ru 0.6618 0.3382 0.0556
8 Ru 0.6618 0.3382 0.4444
9 C 0.5000 0.5000 0.0000
10 C 0.5000 0.5000 0.5000

Calculated values
E_tot = -37.1 eV/f.u.
E_form = -0.366 eV/atom
DOS(E_F) = 0.930 states/eV per atom

***

[2]
VASP calculation (GGA-PBE) on YGaRu2C after structural relaxation.

Cell lengths 5.8972, 5.8972, 7.3321 Å; angles 90.00, 90.00, 141.17 degrees
Positions (direct):
1 Y 0.0456 0.9544 0.7500
2 Y 0.9544 0.0456 0.2500
3 Ga 0.2317 0.7683 0.2500
4 Ga 0.7683 0.2317 0.7500
5 Ru 0.3371 0.6629 0.5570
6 Ru 0.3371 0.6629 0.9430
7 Ru 0.6629 0.3371 0.0570
8 Ru 0.6629 0.3371 0.4430
9 C 0.5000 0.5000 0.0000
10 C 0.5000 0.5000 0.5000

Calculated values
E_tot = -39.2 eV/f.u.
E_form = -0.385 eV/atom
DOS(E_F) = 0.923 states/eV per atom

***

[3]
VASP calculation (GGA-PBE) on YGa2Ru2C after structural relaxation.

Cell lengths 4.0991, 4.0991, 5.5634 Å; angles 90.00, 90.00, 90.00 degrees
Positions (direct):
1 Y 0.0000 0.0000 0.0000
2 Ga 0.5000 0.5000 0.2182
3 Ga 0.5000 0.5000 0.7818
4 Ru 0.0000 0.5000 0.5000
5 Ru 0.5000 0.0000 0.5000
6 C 0.0000 0.0000 0.5000

Calculated values
E_tot = -42.7 eV/f.u.
E_form = -0.399 eV/atom
DOS(E_F) = 0.433 states/eV per atom

***

[4]
VASP calculation (GGA-PBE) on GaCS2 after structural relaxation.

Cell lengths 4.3104, 4.3104, 4.3104 Å; angles 60.00, 60.00, 60.00 degrees
Positions (direct):
1 Ga 0.0000 0.0000 0.0000
2 C 0.5000 0.5000 0.5000
3 S 0.2500 0.2500 0.2500
4 S 0.7500 0.7500 0.7500

Calculated values
E_tot = -14.2 eV/f.u.
DOS(E_F) = 0.690 states/eV per atom

***

[5]
VASP calculation (GGA-PBE) on GaC3S after structural relaxation.

Cell lengths 4.0369, 4.0369, 4.0369 Å; angles 90.00, 90.00, 90.00 degrees
Positions (direct):
1 Ga 0.0000 0.0000 0.0000
2 C 0.0000 0.0000 0.5000
3 C 0.0000 0.5000 0.0000
4 C 0.5000 0.0000 0.0000
5 S 0.5000 0.5000 0.5000

Calculated values
E_tot = -19.8 eV/f.u.
DOS(E_F) = 0.817 states/eV per atom

***

[6]
VASP calculation (GGA-PBE) on GaCS2 after structural relaxation.

Cell lengths 8.1305, 8.1305, 8.1305 Å; angles 21.11, 21.11, 21.11 degrees
Positions (direct):
1 Ga 0.0000 0.0000 0.0000
2 C 0.5000 0.5000 0.5000
3 S 0.1150 0.1150 0.1150
4 S 0.8850 0.8850 0.8850

Calculated values
E_tot = -16.1 eV/f.u.
DOS(E_F) = 0.440 states/eV per atom

***

[7]
VASP calculation (GGA-PBE) on GaCS after structural relaxation.

Cell lengths 3.3945, 5.6615, 6.9011 Å; angles 77.85, 89.81, 89.96 degrees
Positions (direct):
1 Ga 0.0011 0.3067 0.1230
2 Ga 0.9989 0.6933 0.8770
3 C 0.4994 0.8422 0.7446
4 C 0.5006 0.1578 0.2554
5 S 0.5000 0.0000 0.0000
6 S 0.5000 0.0000 0.5000

Calculated values
E_tot = -13.6 eV/f.u.
DOS(E_F) = 0.266 states/eV per atom

***

[8]
VASP calculation (GGA-PBE) on GaCS3 after structural relaxation.

Cell lengths 4.6734, 4.6734, 4.6734 Å; angles 90.00, 90.00, 90.00 degrees
Positions (direct):
1 Ga 0.0000 0.0000 0.0000
2 C 0.5000 0.5000 0.5000
3 S 0.0000 0.0000 0.5000
4 S 0.0000 0.5000 0.0000
5 S 0.5000 0.0000 0.0000

Calculated values
E_tot = -15.6 eV/f.u.
DOS(E_F) = 0.916 states/eV per atom

***

[9]
VASP calculation (GGA-PBE) on GaCS2 after structural relaxation.

Cell lengths 6.8340, 6.8340, 6.8340 Å; angles 138.90, 138.90, 59.52 degrees
Positions (direct):
1 Ga 0.0000 0.0000 0.0000
2 Ga 0.7500 0.2500 0.5000
3 C 0.2500 0.7500 0.5000
4 C 0.5000 0.5000 0.0000
5 S 0.1952 0.6250 0.0702
6 S 0.3750 0.4452 0.5702
7 S 0.5548 0.1250 0.9298
8 S 0.8750 0.8048 0.4298

Calculated values
E_tot = -16.8 eV/f.u.
DOS(E_F) = 0.330 states/eV per atom

***

[10]
VASP calculation (GGA-PBE) on Ga2CS after structural relaxation.

Cell lengths 4.3333, 4.3333, 4.3333 Å; angles 60.00, 60.00, 60.00 degrees
Positions (direct):
1 Ga 0.2500 0.2500 0.2500
2 Ga 0.7500 0.7500 0.7500
3 C 0.0000 0.0000 0.0000
4 S 0.5000 0.5000 0.5000

Calculated values
E_tot = -14.6 eV/f.u.
DOS(E_F) = 0.551 states/eV per atom

***

[11]
VASP calculation (GGA-PBE) on GaCS2 after structural relaxation.

Cell lengths 7.8127, 7.8127, 7.8127 Å; angles 27.19, 27.19, 27.19 degrees
Positions (direct):
1 Ga 0.0000 0.0000 0.0000
2 C 0.5000 0.5000 0.5000
3 S 0.4303 0.4303 0.4303
4 S 0.5697 0.5697 0.5697

Calculated values
E_tot = -18.6 eV/f.u.
DOS(E_F) = 0.265 states/eV per atom

***

[12]
VASP calculation (GGA-PBE) on GaC2S2 after structural relaxation.

Cell lengths 4.5066, 4.5066, 4.5066 Å; angles 121.57, 121.57, 87.30 degrees
Positions (direct):
1 Ga 0.0000 0.0000 0.0000
2 C 0.3945 0.3945 0.0000
3 C 0.6055 0.6055 0.0000
4 S 0.2500 0.7500 0.5000
5 S 0.7500 0.2500 0.5000

Calculated values
E_tot = -22.3 eV/f.u.
DOS(E_F) = 0.389 states/eV per atom

***

Among the records above, which one has the lowest DOS(E_F)?
number 11

***

Please write out number 3 again, unchanged.
VASP calculation (GGA-PBE) on YGa2Ru2C after structural relaxation.

Cell lengths 4.0991, 4.0991, 5.5634 Å; angles 90.00, 90.00, 90.00 degrees
Positions (direct):
1 Y 0.0000 0.0000 0.0000
2 Ga 0.5000 0.5000 0.2182
3 Ga 0.5000 0.5000 0.7818
4 Ru 0.0000 0.5000 0.5000
5 Ru 0.5000 0.0000 0.5000
6 C 0.0000 0.0000 0.5000

Calculated values
E_tot = -42.7 eV/f.u.
E_form = -0.399 eV/atom
DOS(E_F) = 0.433 states/eV per atom